# CePrDy2 | the Alexandria database | PBE-GGA | optimized geometry
# * energy: -4.903 eV/atom
# * ΔE_f: 0.08 eV per atom
data_CePrDy2
_symmetry_space_group_name_H-M 'P 4/m m m'
_symmetry_Int_Tables_number 123
_symmetry_space_group_name_Hall '-P 4 2'
_cell_length_a 5.0837
_cell_length_b 5.0837
_cell_length_c 4.9990
_cell_angle_alpha 90.00
_cell_angle_beta 90.00
_cell_angle_gamma 90.00
loop_
_atom_site_label
_atom_site_fract_x
_atom_site_fract_y
_atom_site_fract_z
_atom_site_occupancy
Ce1 0.0000 0.0000 0.0000 1
Pr1 0.5000 0.5000 0.0000 1
Dy1 0.0000 0.5000 0.5000 1